(1)
Below is Er4Sb2Rh after structural relaxation, with properties calculated at the PBE level.

Cell and atoms, written as POSCAR:
```
Er4Sb2Rh
1.0
-3.075 0.695 -3.023
5.949 -0.464 -6.158
-3.198 -4.902 5.280
Er Sb Rh
4 2 1
Direct
0.932 0.216 0.865
0.068 0.784 0.135
0.664 0.272 0.329
0.336 0.728 0.671
0.657 0.651 0.313
0.343 0.349 0.687
0.000 0.000 0.000
```

Summary:
SG = C2/m
raw formation energy = -5.64 eV/f.u.
volume = 185 Å³/cell
magnetic moment = 0.00 μB per formula unit
density = 9122 kg/m³

---

(2)
Below is Er3Sb4Rh8 after structural relaxation, with properties calculated at the PBE level.

Cell and atoms, written as POSCAR:
```
Er3Sb4Rh8
1.0
7.935 0.000 4.581
2.645 7.481 4.581
0.000 0.000 9.162
Er Sb Rh
6 8 16
Direct
0.728 0.728 0.272
0.272 0.272 0.728
0.728 0.272 0.272
0.272 0.728 0.728
0.728 0.272 0.728
0.272 0.728 0.272
0.000 0.000 0.000
0.500 0.500 0.000
0.000 0.000 0.500
0.500 0.000 0.000
0.000 0.500 0.500
0.500 0.000 0.500
0.000 0.500 0.000
0.500 0.500 0.500
0.640 0.120 0.120
0.360 0.880 0.880
0.120 0.120 0.640
0.120 0.120 0.120
0.880 0.880 0.360
0.880 0.880 0.880
0.120 0.640 0.120
0.880 0.360 0.880
0.993 0.336 0.336
0.007 0.664 0.664
0.336 0.336 0.993
0.336 0.336 0.336
0.664 0.664 0.007
0.664 0.664 0.664
0.336 0.993 0.336
0.664 0.007 0.664
```

Summary:
SG = Fm-3m
raw formation energy = -11.18 eV/f.u.
volume = 544 Å³/cell
magnetic moment = 0.00 μB per formula unit
density = 11066 kg/m³

---

(3)
Below is ErSbRh after structural relaxation, with properties calculated at the PBE level.

Cell and atoms, written as POSCAR:
```
ErSbRh
1.0
-2.993 1.735 -1.554
0.897 -1.477 -3.376
-1.551 -3.796 3.378
Sb Rh Er
1 1 1
Direct
0.278 0.278 0.556
0.974 0.974 0.947
0.598 0.598 0.197
```

Summary:
SG = I4mm
raw formation energy = -1.70 eV/f.u.
volume = 66 Å³/cell
magnetic moment = 0.00 μB per formula unit
density = 9865 kg/m³

---

(4)
Below is ErSbRh after structural relaxation, with properties calculated at the PBE level.

Cell and atoms, written as POSCAR:
```
ErSbRh
1.0
-4.173 -1.620 -0.840
3.108 -6.732 -2.451
-0.337 -2.564 6.618
Sb Rh Er
4 4 4
Direct
0.250 0.409 0.693
0.750 0.591 0.307
0.750 0.909 0.807
0.250 0.091 0.193
0.250 0.419 0.301
0.750 0.581 0.699
0.750 0.919 0.199
0.250 0.081 0.801
0.250 0.799 0.509
0.750 0.201 0.491
0.750 0.299 0.991
0.250 0.701 0.009
```

Summary:
SG = Pnma
raw formation energy = -2.99 eV/f.u.
volume = 253 Å³/cell
magnetic moment = 0.00 μB per formula unit
density = 10301 kg/m³

---

(5)
Below is ErSb2Rh3 after structural relaxation, with properties calculated at the PBE level.

Cell and atoms, written as POSCAR:
```
ErSb2Rh3
1.0
-2.850 -1.603 -2.586
-1.892 -3.916 7.871
-4.831 8.783 -0.121
Er Sb Rh
3 6 9
Direct
0.164 0.329 0.714
0.836 0.671 0.286
0.000 0.000 0.000
0.188 0.376 0.124
0.812 0.624 0.876
0.457 0.914 0.217
0.543 0.086 0.783
0.361 0.723 0.540
0.639 0.277 0.460
0.040 0.081 0.325
0.960 0.919 0.675
0.214 0.429 0.394
0.786 0.571 0.606
0.611 0.222 0.190
0.389 0.778 0.810
0.500 0.000 0.500
0.316 0.631 0.045
0.684 0.369 0.955
```

Summary:
SG = C2/m
raw formation energy = -4.14 eV/f.u.
volume = 349 Å³/cell
magnetic moment = 0.00 μB per formula unit
density = 10274 kg/m³

---

(6)
Below is ErSb2Rh4 after structural relaxation, with properties calculated at the PBE level.

Cell and atoms, written as POSCAR:
```
ErSb2Rh4
1.0
4.104 0.000 0.000
0.000 7.948 0.000
0.000 0.000 7.948
Er Sb Rh
2 4 8
Direct
0.500 0.000 0.000
0.000 0.500 0.500
0.000 0.225 0.775
0.000 0.775 0.225
0.500 0.725 0.725
0.500 0.275 0.275
0.000 0.080 0.342
0.000 0.920 0.658
0.500 0.158 0.580
0.500 0.842 0.420
0.500 0.420 0.842
0.500 0.580 0.158
0.000 0.342 0.080
0.000 0.658 0.920
```

Summary:
excess energy over the best structure of this formula in the dataset = 0.0 meV/atom
SG = P4_2/mnm
raw formation energy = -3.82 eV/f.u.
volume = 259 Å³/cell
magnetic moment = 0.00 μB per formula unit
density = 10536 kg/m³